No. 1
HgP2SI: optimized geometry, PBEsol.

* crystal system: tetragonal
* raw formation energy: 1.321 eV per atom
* total energy: -2.34 eV per atom
* total magnetic moment: 0.764 μB/cell

abc: 4.9704 5.1443 5.1443
angles: 90.00 90.00 90.00
With the nearest neighbours (Å) after each atom.
Fractional coordinates of all 5 atoms:
I  0.0000  0.0000  0.0000  2 S 2.49, 4 P 2.57
S  0.5000  0.0000  0.0000  2 I 2.49
P  0.0000  0.5000  0.0000  2 I 2.57
Hg  0.5000  0.5000  0.5000  8 P 3.58, 4 S 3.64
P  0.0000  0.0000  0.5000  2 I 2.57

=====

No. 2
OsRhAu3: optimized geometry, PBEsol.

* crystal system: cubic
* total energy: -4.49 eV per atom
* ΔH_f (0 K): 9.68 eV/f.u.
* total magnetic moment: 2.583 μB/cell

abc: 4.8640 4.8640 4.8640
angles: 90.00 90.00 90.00
With the nearest neighbours (Å) after each atom.
Fractional coordinates of all 5 atoms:
Os  0.0000  0.0000  0.0000  6 Au 2.43
Rh  0.5000  0.5000  0.5000  12 Au 3.44
Au  0.5000  0.0000  0.0000  2 Os 2.43
Au  0.0000  0.5000  0.0000  2 Os 2.43
Au  0.0000  0.0000  0.5000  2 Os 2.43

=====

No. 3
AgAuSe2N: optimized geometry, PBEsol.

* crystal system: tetragonal
* raw formation energy: 1.284 eV per atom
* total energy: -3.41 eV per atom
* total magnetic moment: 1.910 μB/cell

abc: 3.8324 5.0730 5.0730
angles: 90.00 90.00 90.00
With the nearest neighbours (Å) after each atom.
Fractional coordinates of all 5 atoms:
Au  0.5000  0.5000  0.5000  8 Se 3.18
Ag  0.0000  0.0000  0.0000  2 N 1.92
Se  0.0000  0.0000  0.5000  2 Ag 2.54
Se  0.0000  0.5000  0.0000  2 Ag 2.54
N  0.5000  0.0000  0.0000  2 Ag 1.92

=====

No. 4
LiGe: optimized geometry, PBEsol.

* crystal system: tetragonal
* total energy: -3.76 eV per atom
* ΔH_f (0 K): -0.61 eV/f.u.
* total magnetic moment: 0.000 μB/cell

abc: 5.6793 7.4420 7.4420
angles: 81.63 67.57 67.57
With the nearest neighbours (Å) after each atom.
Fractional coordinates of all 16 atoms:
Ge  0.0925  0.5906  0.1963  3 Ge 2.54-2.63, 4 Li 2.65-2.73
Li  0.3765  0.0575  0.7836  4 Ge 2.65-2.73, 1 Li 2.83
Li  0.2176  0.9425  0.2164  4 Ge 2.65-2.73, 1 Li 2.83
Li  0.5324  0.5575  0.2836  4 Ge 2.65-2.73, 1 Li 2.83
Ge  0.3169  0.8037  0.5906  3 Ge 2.54-2.63, 4 Li 2.65-2.73
Li  0.1840  0.2836  0.4425  4 Ge 2.65-2.73, 1 Li 2.83
Ge  0.8794  0.4094  0.8037  3 Ge 2.54-2.63, 4 Li 2.65-2.73
Li  0.8399  0.7836  0.9425  4 Ge 2.65-2.73, 1 Li 2.83
Li  0.5660  0.2164  0.0575  4 Ge 2.65-2.73, 1 Li 2.83
Ge  0.6575  0.9094  0.3037  3 Ge 2.54-2.63, 4 Li 2.65-2.73
Li  0.9101  0.7164  0.5575  4 Ge 2.65-2.73, 1 Li 2.83
Ge  0.7112  0.1963  0.4094  3 Ge 2.54-2.63, 4 Li 2.65-2.73
Ge  0.4331  0.6963  0.9094  3 Ge 2.54-2.63, 4 Li 2.65-2.73
Ge  0.8706  0.0906  0.6963  3 Ge 2.54-2.63, 4 Li 2.65-2.73
Li  0.3735  0.4425  0.7164  4 Ge 2.65-2.73, 1 Li 2.83
Ge  0.0388  0.3037  0.0906  3 Ge 2.54-2.63, 4 Li 2.65-2.73

=====

No. 5
SiPd2Br: optimized geometry, PBEsol.

* crystal system: tetragonal
* raw formation energy: -0.041 eV per atom
* total energy: -4.92 eV per atom
* total magnetic moment: 0.001 μB/cell

abc: 5.9180 5.9180 5.9180
angles: 100.38 114.20 114.20
With the nearest neighbours (Å) after each atom.
Fractional coordinates of all 8 atoms:
Pd  0.0447  0.8750  0.4197  2 Si 2.29
Pd  0.4553  0.5803  0.6250  2 Si 2.29
Br  0.5000  0.7500  0.2500  4 Pd 2.66
Br  0.0000  0.0000  0.0000  4 Pd 2.66
Si  0.5000  0.2500  0.7500  4 Pd 2.29
Pd  0.9553  0.3750  0.8303  2 Si 2.29
Si  0.0000  0.5000  0.5000  4 Pd 2.29
Pd  0.5447  0.1697  0.1250  2 Si 2.29

=====

No. 6
Pb2SeCl: optimized geometry, PBEsol.

* crystal system: tetragonal
* raw formation energy: -0.481 eV per atom
* total energy: -3.95 eV per atom
* total magnetic moment: 0.000 μB/cell

abc: 4.2827 4.2827 6.1817
angles: 90.00 90.00 90.00
With the nearest neighbours (Å) after each atom.
Fractional coordinates of all 4 atoms:
Pb  0.5000  0.5000  0.3555  2 Cl 2.98-3.20, 4 Se 3.05
Cl  0.5000  0.5000  0.8373  6 Pb 2.98-3.20
Pb  0.0000  0.0000  0.8917  2 Se 2.94-3.24, 4 Cl 3.05
Se  0.0000  0.0000  0.4155  6 Pb 2.94-3.24

=====

No. 7
LiTlZn3: optimized geometry, PBEsol.

* crystal system: cubic
* total energy: -1.48 eV per atom
* ΔH_f (0 K): 1.93 eV/f.u.
* total magnetic moment: 0.000 μB/cell

abc: 4.6149 4.6149 4.6149
angles: 90.00 90.00 90.00
With the nearest neighbours (Å) after each atom.
Fractional coordinates of all 5 atoms:
Zn  0.0000  0.5000  0.0000  2 Li 2.31
Zn  0.5000  0.0000  0.0000  2 Li 2.31
Tl  0.5000  0.5000  0.5000  12 Zn 3.26
Zn  0.0000  0.0000  0.5000  2 Li 2.31
Li  0.0000  0.0000  0.0000  6 Zn 2.31

=====

No. 8
Mg2As: optimized geometry, PBEsol.

* crystal system: orthorhombic
* total energy: -3.02 eV per atom
* ΔH_f (0 K): -0.51 eV/f.u.
* total magnetic moment: 0.000 μB/cell

abc: 5.2110 5.1504 5.1504
angles: 60.25 90.00 90.00
With the nearest neighbours (Å) after each atom.
Fractional coordinates of all 6 atoms:
Mg  0.2500  0.0956  0.5936  3 Mg 2.77-3.09, 5 As 2.93-3.07
Mg  0.7500  0.5936  0.0956  3 Mg 2.77-3.09, 5 As 2.93-3.07
As  0.2500  0.7504  0.2496  10 Mg 2.93-3.07
Mg  0.2500  0.4064  0.9044  3 Mg 2.77-3.09, 5 As 2.93-3.07
As  0.7500  0.2496  0.7504  10 Mg 2.93-3.07
Mg  0.7500  0.9044  0.4064  3 Mg 2.77-3.09, 5 As 2.93-3.07

=====

No. 9
NaSe2F: optimized geometry, PBEsol.

* crystal system: tetragonal
* raw formation energy: -1.060 eV per atom
* total energy: -3.82 eV per atom
* total magnetic moment: 0.000 μB/cell

abc: 3.5855 3.5855 13.5451
angles: 97.61 97.61 90.00
With the nearest neighbours (Å) after each atom.
Fractional coordinates of all 8 atoms:
F  0.5000  0.5000  0.0000  4 Na 2.54
Se  0.3757  0.8750  0.2500  4 Se 2.53-2.54
Se  0.6250  0.6243  0.7500  4 Se 2.53-2.54
F  0.7500  0.2500  0.5000  4 Na 2.54
Se  0.1250  0.1257  0.7500  4 Se 2.53-2.54
Se  0.8743  0.3750  0.2500  4 Se 2.53-2.54
Na  0.0000  0.0000  0.0000  4 F 2.54
Na  0.2500  0.7500  0.5000  4 F 2.54

=====

No. 10
Zn2SbW: optimized geometry, PBEsol.

* crystal system: orthorhombic
* raw formation energy: 0.481 eV per atom
* total energy: -4.90 eV per atom
* total magnetic moment: 0.000 μB/cell

abc: 2.9257 4.9738 4.9738
angles: 113.19 90.00 90.00
With the nearest neighbours (Å) after each atom.
Fractional coordinates of all 4 atoms:
Zn  0.0000  0.5000  0.0000  4 Zn 2.74-2.93, 4 Sb 2.89, 4 W 2.89
Sb  0.5000  0.0000  0.0000  2 W 2.74, 8 Zn 2.89, 2 Sb 2.93
Zn  0.0000  0.0000  0.5000  4 Zn 2.74-2.93, 4 W 2.89, 4 Sb 2.89
W  0.5000  0.5000  0.5000  2 Sb 2.74, 8 Zn 2.89, 2 W 2.93

=====

No. 11
BiSb3Ru: optimized geometry, PBEsol.

* crystal system: cubic
* raw formation energy: 1.945 eV per atom
* total energy: -3.68 eV per atom
* total magnetic moment: 2.433 μB/cell

abc: 5.6536 5.6536 5.6536
angles: 90.00 90.00 90.00
With the nearest neighbours (Å) after each atom.
Fractional coordinates of all 5 atoms:
Sb  0.5000  0.0000  0.0000  2 Bi 2.83
Ru  0.5000  0.5000  0.5000  12 Sb 4.00
Bi  0.0000  0.0000  0.0000  6 Sb 2.83
Sb  0.0000  0.0000  0.5000  2 Bi 2.83
Sb  0.0000  0.5000  0.0000  2 Bi 2.83

=====

No. 12
Mg4Sc5: optimized geometry, PBEsol.

* crystal system: hexagonal
* total energy: -4.40 eV per atom
* ΔH_f (0 K): 0.33 eV/f.u.
* total magnetic moment: 0.003 μB/cell

abc: 6.1900 8.8058 8.8058
angles: 120.00 90.00 90.00
With the nearest neighbours (Å) after each atom.
Fractional coordinates of all 18 atoms:
Mg  0.0000  0.0000  0.0000  8 Mg 3.09-3.23, 6 Sc 3.45
Mg  0.7500  0.0000  0.3221  5 Sc 2.89-3.10, 2 Mg 3.23
Sc  0.5000  0.3333  0.6667  8 Sc 3.09-3.26, 6 Mg 3.36
Mg  0.2500  0.6779  0.0000  5 Sc 2.89-3.10, 2 Mg 3.23
Sc  0.5000  0.6667  0.3333  8 Sc 3.09-3.26, 6 Mg 3.36
Sc  0.7500  0.3503  0.3503  5 Mg 2.89-3.10
Mg  0.5000  0.0000  0.0000  8 Mg 3.09-3.23, 6 Sc 3.45
Sc  0.0000  0.6667  0.3333  8 Sc 3.09-3.26, 6 Mg 3.36
Mg  0.7500  0.3221  0.0000  5 Sc 2.89-3.10, 2 Mg 3.23
Sc  0.7500  0.6497  0.0000  5 Mg 2.89-3.10
Sc  0.0000  0.3333  0.6667  8 Sc 3.09-3.26, 6 Mg 3.36
Sc  0.2500  0.6497  0.6497  5 Mg 2.89-3.10
Sc  0.2500  0.3503  0.0000  5 Mg 2.89-3.10
Sc  0.2500  0.0000  0.3503  5 Mg 2.89-3.10
Mg  0.7500  0.6779  0.6779  5 Sc 2.89-3.10, 2 Mg 3.23
Mg  0.2500  0.0000  0.6779  5 Sc 2.89-3.10, 2 Mg 3.23
Mg  0.2500  0.3221  0.3221  5 Sc 2.89-3.10, 2 Mg 3.23
Sc  0.7500  0.0000  0.6497  5 Mg 2.89-3.10

=====

No. 13
LaTlOs2: optimized geometry, PBEsol.

* crystal system: monoclinic
* total energy: -7.36 eV per atom
* ΔH_f (0 K): 2.96 eV/f.u.
* total magnetic moment: 0.000 μB/cell

abc: 3.0069 4.6570 5.6795
angles: 90.00 91.28 90.00
With the nearest neighbours (Å) after each atom.
Fractional coordinates of all 4 atoms:
La  0.0000  0.5000  0.0000  4 Os 2.74, 2 La 3.01
Os  0.7044  0.0000  0.7959  2 Os 2.65-2.89, 2 La 2.74, 2 Tl 2.93
Os  0.2956  0.0000  0.2041  2 Os 2.65-2.89, 2 La 2.74, 2 Tl 2.93
Tl  0.5000  0.5000  0.5000  4 Os 2.93, 2 Tl 3.01, 4 La 3.18-3.24